POsCl2: optimized geometry, PBE.

* uncorrected formation energy: 1.440 eV/atom
* volume: 15.8 Å³/atom
* E_tot: -3.64 eV/atom
* energy relative to the lowest polymorph listed for this composition: 1742 meV per atom

Lattice parameters (Å, degrees): 4.527 4.527 3.089 90.00 90.00 90.00
Atoms (fractional coordinates):
Cl (0.000, 0.000, 0.000)
Cl (0.500, 0.500, 0.000)
Os (0.500, 0.000, 0.500)
P (0.000, 0.500, 0.500)

P2OsCl12: optimized geometry, PBE.

* uncorrected formation energy: -0.517 eV/atom
* volume: 33.8 Å³/atom
* E_tot: -3.46 eV/atom

Lattice parameters (Å, degrees): 6.815 7.152 12.471 70.77 75.38 63.00
Atoms (fractional coordinates):
Cl (0.378, 0.801, 0.988)
Cl (0.622, 0.199, 0.012)
Cl (0.001, 0.035, 0.177)
Cl (0.999, 0.965, 0.823)
Cl (0.056, 0.313, 0.914)
Cl (0.944, 0.687, 0.086)
Cl (0.468, 0.934, 0.354)
Cl (0.532, 0.066, 0.646)
Cl (0.416, 0.417, 0.313)
Cl (0.584, 0.583, 0.687)
Cl (0.994, 0.302, 0.407)
Cl (0.006, 0.698, 0.593)
Os (0.000, 0.000, 0.000)
P (0.266, 0.249, 0.284)
P (0.734, 0.751, 0.716)